Entry 1:
Compound: CaCeBi
Source: Alexandria via LeMat-Bulk
Functional: GGA-PBE
Structure: relaxed

The space group is C2/m (No. 12) and the conventional cell measures 6.4852, 6.4851 and 9.0169 Å, with angles of 90.00, 90.03 and 90.00 degrees. The asymmetric unit holds Ca at (0.2496, 0.0000, 0.1480), Ce at (0.0000, 0.2495, 0.5000) and Bi at (0.2504, 0.0000, 0.7796).

For the formation energy, the calculation gives -1.907 eV per formula unit. The calculation puts the calculated volume at 31.60 Å³/atom. The polymorph energy (0 for the lowest one) comes out at 0.00 eV/f.u. The calculation puts the density of states at the Fermi level at 2.0123 states/eV per atom. Its uncorrected energy is -54.90 eV per cell.

=====

Entry 2:
Compound: Cs2TaBr6N
Source: Alexandria via LeMat-Bulk
Functional: GGA-PBE
Structure: relaxed

The space group is I4/mmm (No. 139) and the conventional cell measures 8.0477, 8.0477 and 11.4040 Å, with angles of 90.00, 90.00 and 90.00 degrees. The asymmetric unit holds Cs at (0.0000, 0.5000, 0.2500), Ta at (0.0000, 0.0000, 0.0000), Br at (0.0000, 0.0000, 0.2271), Br at (0.2275, 0.2275, 0.0000) and N at (0.0000, 0.0000, 0.5000).

The calculation puts the calculated volume at 36.93 Å³/atom. Its uncorrected formation energy is -0.669 eV per atom. The calculation puts the density of states at the Fermi level at 1.2330 states/eV per atom. Its uncorrected energy is -77.22 eV per cell.

=====

Entry 3:
Compound: Ce2SmUP4
Source: Alexandria via LeMat-Bulk
Functional: GGA-PBE
Structure: relaxed

The space group is P2/m (No. 10) and the conventional cell measures 7.0233, 4.0441 and 7.0406 Å, with angles of 90.00, 109.32 and 90.00 degrees. The asymmetric unit holds Ce at (0.0000, 0.0000, 0.0000), Ce at (0.0000, 0.5000, 0.5000), Sm at (0.5000, 0.0000, 0.5000), U at (0.5000, 0.5000, 0.0000), P at (0.2532, 0.5000, 0.2429) and P at (0.2584, 0.0000, 0.7592).

For the formation energy, the calculation gives -11.006 eV per formula unit. The calculation puts the calculated volume at 23.59 Å³/atom. The calculation puts the density of states at the Fermi level at 1.8244 states/eV per atom. Its uncorrected energy is -60.52 eV per cell.

=====

Entry 4:
Compound: SrY2Rh
Source: Alexandria via LeMat-Bulk
Functional: GGA-PBE
Structure: relaxed

The space group is Pmmm (No. 47) and the conventional cell measures 4.3953, 4.8701 and 5.0645 Å, with angles of 90.00, 90.00 and 90.00 degrees. The asymmetric unit holds Sr at (0.0000, 0.0000, 0.0000), Y at (0.5000, 0.0000, 0.5000), Y at (0.5000, 0.5000, 0.0000) and Rh at (0.0000, 0.5000, 0.5000).

For the formation energy, the calculation gives 0.315 eV per formula unit. The calculation puts the calculated volume at 27.10 Å³/atom. The polymorph energy (0 for the lowest one) comes out at 1.70 eV/f.u. The calculation puts the density of states at the Fermi level at 1.0781 states/eV per atom. Its uncorrected energy is -21.65 eV per cell.

=====

Entry 5:
Compound: HfAg2MoIr
Source: Alexandria via LeMat-Bulk
Functional: GGA-PBE
Structure: relaxed

The space group is P4/mmm (No. 123) and the conventional cell measures 4.9523, 4.9523 and 4.6406 Å, with angles of 90.00, 90.00 and 90.00 degrees. The asymmetric unit holds Hf at (0.0000, 0.0000, 0.0000), Ag at (0.0000, 0.5000, 0.5000), Mo at (0.5000, 0.5000, 0.0000) and Ir at (0.5000, 0.5000, 0.5000).

For the formation energy, the calculation gives 6.263 eV per formula unit. The calculation puts the calculated volume at 22.76 Å³/atom. The calculation puts the density of states at the Fermi level at 1.1353 states/eV per atom. Its uncorrected energy is -29.08 eV per cell.

=====

Entry 6:
Compound: Rb2CdPb
Source: Alexandria via LeMat-Bulk
Functional: GGA-PBE
Structure: relaxed

The space group is R-3m (No. 166, hexagonal axes) and the conventional cell measures 3.9170, 3.9170 and 40.1607 Å, with angles of 90.00, 90.00 and 120.00 degrees. The asymmetric unit holds Rb at (0.0000, 0.0000, 0.0909), Cd at (0.0000, 0.0000, 0.5000) and Pb at (0.0000, 0.0000, 0.0000).

For the formation energy, the calculation gives 0.928 eV per formula unit. The calculation puts the calculated volume at 44.47 Å³/atom. The calculation puts the density of states at the Fermi level at 0.4516 states/eV per atom. Its uncorrected energy is -16.89 eV per cell.

=====

Entry 7:
Compound: ScTi2PtC
Source: Alexandria via LeMat-Bulk
Functional: GGA-PBE
Structure: relaxed

The space group is P4/mmm (No. 123) and the conventional cell measures 4.1563, 4.1563 and 4.4329 Å, with angles of 90.00, 90.00 and 90.00 degrees. The asymmetric unit holds Sc at (0.0000, 0.0000, 0.0000), Ti at (0.0000, 0.5000, 0.5000), Pt at (0.5000, 0.5000, 0.0000) and C at (0.0000, 0.0000, 0.5000).

For the formation energy, the calculation gives -3.469 eV per formula unit. The calculation puts the calculated volume at 15.32 Å³/atom. The calculation puts the density of states at the Fermi level at 1.5458 states/eV per atom. Its uncorrected energy is -40.85 eV per cell.

=====

Entry 8:
Compound: MgTaTc2
Source: Alexandria via LeMat-Bulk
Functional: GGA-PBE
Structure: relaxed

The space group is R-3m (No. 166, hexagonal axes) and the conventional cell measures 3.0364, 3.0364 and 25.4982 Å, with angles of 90.00, 90.00 and 120.00 degrees. The asymmetric unit holds Mg at (0.0000, 0.0000, 0.0000), Ta at (0.0000, 0.0000, 0.5000) and Tc at (0.0000, 0.0000, 0.2444).

For the formation energy, the calculation gives 0.557 eV per formula unit. The calculation puts the calculated volume at 16.97 Å³/atom. The calculation puts the density of states at the Fermi level at 0.7628 states/eV per atom. Its uncorrected energy is -100.87 eV per cell.

=====

Entry 9:
Compound: TbEr2ScTl2
Source: Alexandria via LeMat-Bulk
Functional: GGA-PBE
Structure: relaxed

The space group is Pmc2_1 (No. 26) and the conventional cell measures 4.9402, 9.7150 and 6.8563 Å, with angles of 90.00, 90.00 and 90.00 degrees. The asymmetric unit holds Tb at (0.0000, 0.0478, 0.0000), Er at (0.0000, 0.3111, 0.3905), Er at (0.5000, 0.4516, 0.1003), Sc at (0.5000, 0.1966, 0.7119), Tl at (0.0000, 0.3647, 0.8400) and Tl at (0.5000, 0.1216, 0.2720).

For the formation energy, the calculation gives -1.550 eV per formula unit. The calculation puts the calculated volume at 27.42 Å³/atom. The calculation puts the density of states at the Fermi level at 1.0763 states/eV per atom. Its uncorrected energy is -52.74 eV per cell.

=====

Entry 10:
Compound: Al2TcHRh
Source: Alexandria via LeMat-Bulk
Functional: GGA-PBE
Structure: relaxed

The space group is P4/mmm (No. 123) and the conventional cell measures 4.2521, 4.2521 and 3.2666 Å, with angles of 90.00, 90.00 and 90.00 degrees. The asymmetric unit holds Al at (0.0000, 0.5000, 0.0000), Tc at (0.0000, 0.0000, 0.5000), H at (0.0000, 0.0000, 0.0000) and Rh at (0.5000, 0.5000, 0.5000).

The calculation puts the calculated volume at 11.81 Å³/atom. The calculation puts the density of states at the Fermi level at 0.4430 states/eV per atom. Its uncorrected energy is -30.62 eV per cell.

=====

Entry 11:
Compound: LaPm2NdY6
Source: Alexandria via LeMat-Bulk
Functional: GGA-PBE
Structure: relaxed

The space group is C2/c (No. 15) and the conventional cell measures 9.1858, 15.1696 and 9.8563 Å, with angles of 90.00, 98.96 and 90.00 degrees. The asymmetric unit holds La at (0.0000, 0.0203, 0.2500), Pm at (0.2396, 0.0502, 0.5457), Nd at (0.0000, 0.4064, 0.7500), Y at (0.0704, 0.1897, 0.9424), Y at (0.0956, 0.3947, 0.1168) and Y at (0.2036, 0.2269, 0.3182).

For the formation energy, the calculation gives 1.160 eV per formula unit. The calculation puts the calculated volume at 33.92 Å³/atom. The calculation puts the density of states at the Fermi level at 1.6647 states/eV per atom. Its uncorrected energy is -227.28 eV per cell.